This record from the Alexandria database describes crystalline ThZr2Tc9 at its relaxed geometry. The functional is PBE.

a b c (Å): 5.2729 5.2729 9.2972
angles (deg): 73.53 73.53 60.00
Atoms (fractional coordinates):
Tc1 0.9238 0.4089 0.2584
Tc2 0.5000 0.5000 0.5000
Tc3 0.5911 0.5911 0.7416
Zr1 0.8572 0.8572 0.4283
Zr2 0.1428 0.1428 0.5717
Tc4 0.0762 0.5911 0.7416
Tc5 0.6633 0.6633 0.0100
Tc6 0.3367 0.3367 0.9900
Tc7 0.5911 0.0762 0.7416
Th1 0.0000 0.0000 0.0000
Tc8 0.4089 0.4089 0.2584
Tc9 0.4089 0.9238 0.2584

Values from the calculation:
Calculated density: 10.178 Mg/m³
Magnetization: 0.0 μB/cell
ΔE_f: -0.1323 eV per atom
DFT total energy: -119.40 eV for the cell shown
Crystal system: trigonal

***

This record from the Alexandria database describes crystalline Th2ZrTc at its relaxed geometry. The functional is PBE.

a b c (Å): 3.5379 3.5379 8.1225
angles (deg): 90.00 90.00 90.00
Atoms (fractional coordinates):
Th1 0.0000 0.0000 0.2190
Tc1 0.5000 0.5000 0.0000
Th2 0.0000 0.0000 0.7810
Zr1 0.5000 0.5000 0.5000

Values from the calculation:
Calculated density: 10.670 Mg/m³
Energy above the most stable polymorph in this dataset: 0 meV per atom
Magnetization: 0.0 μB/cell
ΔE_f: 0.0738 eV per atom
DFT total energy: -33.46 eV for the cell shown
Crystal system: tetragonal

***

This record from the Alexandria database describes crystalline Th2ZrTc at its relaxed geometry. The functional is PBE.

a b c (Å): 3.3632 3.3632 10.7294
angles (deg): 80.98 80.98 60.00
Atoms (fractional coordinates):
Th1 0.0968 0.0968 0.7095
Zr1 0.0000 0.0000 0.0000
Th2 0.9032 0.9032 0.2905
Tc1 0.5000 0.5000 0.5000

Values from the calculation:
Calculated density: 10.495 Mg/m³
Energy above the most stable polymorph in this dataset: 369 meV per atom
Magnetization: 0.0 μB/cell
ΔE_f: 0.4432 eV per atom
DFT total energy: -31.98 eV for the cell shown
Crystal system: trigonal

***

This record from the Alexandria database describes crystalline ThZr2Tc at its relaxed geometry. The functional is PBE.

a b c (Å): 6.0765 7.0646 8.9000
angles (deg): 90.00 90.00 90.00
Atoms (fractional coordinates):
Tc1 0.5718 0.1251 0.7500
Th1 0.8609 0.0390 0.2500
Tc2 0.9282 0.6251 0.7500
Zr1 0.3488 0.1813 0.0641
Th2 0.6391 0.5390 0.2500
Th3 0.3609 0.4610 0.7500
Tc3 0.0718 0.3749 0.2500
Zr2 0.1512 0.6813 0.0641
Zr3 0.1512 0.6813 0.4359
Tc4 0.4282 0.8749 0.2500
Zr4 0.8488 0.3187 0.9359
Zr5 0.8488 0.3187 0.5641
Th4 0.1391 0.9610 0.7500
Zr6 0.6512 0.8187 0.5641
Zr7 0.3488 0.1813 0.4359
Zr8 0.6512 0.8187 0.9359

Values from the calculation:
Calculated density: 8.910 Mg/m³
Energy above the most stable polymorph in this dataset: 59 meV per atom
Magnetization: 0.0 μB/cell
ΔE_f: -0.1047 eV per atom
DFT total energy: -141.20 eV for the cell shown
Crystal system: orthorhombic

***

This record from the Alexandria database describes crystalline ThZr2Tc at its relaxed geometry. The functional is PBE.

a b c (Å): 4.9527 4.9527 4.9547
angles (deg): 60.01 60.01 60.00
Atoms (fractional coordinates):
Th1 0.5000 0.5000 0.5000
Zr1 0.2500 0.2500 0.2499
Zr2 0.7500 0.7500 0.7501
Tc1 0.0000 0.0000 0.0000

Values from the calculation:
Calculated density: 9.901 Mg/m³
Energy above the most stable polymorph in this dataset: 257 meV per atom
Magnetization: 0.0 μB/cell
ΔE_f: 0.0930 eV per atom
DFT total energy: -34.51 eV for the cell shown
Crystal system: cubic

***

This record from the Alexandria database describes crystalline ThZr2Tc at its relaxed geometry. The functional is PBE.

a b c (Å): 3.3388 3.3388 8.1741
angles (deg): 90.00 90.00 90.00
Atoms (fractional coordinates):
Zr1 0.0000 0.0000 0.1922
Zr2 0.0000 0.0000 0.8078
Tc1 0.5000 0.5000 0.0000
Th1 0.5000 0.5000 0.5000

Values from the calculation:
Calculated density: 9.339 Mg/m³
Energy above the most stable polymorph in this dataset: 0 meV per atom
Magnetization: 0.0 μB/cell
ΔE_f: -0.1641 eV per atom
DFT total energy: -35.54 eV for the cell shown
Crystal system: tetragonal

***

This record from the Alexandria database describes crystalline ThZrTc at its relaxed geometry. The functional is PBE.

a b c (Å): 3.4454 3.4454 6.1887
angles (deg): 106.16 106.16 90.00
Atoms (fractional coordinates):
Th1 0.3166 0.3166 0.6331
Tc1 0.6607 0.6607 0.3214
Zr1 0.0227 0.0227 0.0454

Values from the calculation:
Calculated density: 10.358 Mg/m³
Magnetization: 0.0 μB/cell
ΔE_f: -0.0910 eV per atom
DFT total energy: -26.61 eV for the cell shown
Crystal system: tetragonal

***

This record from the Alexandria database describes crystalline ThZrTc2 at its relaxed geometry. The functional is PBE.

a b c (Å): 3.4286 3.4286 6.8038
angles (deg): 90.00 90.00 90.00
Atoms (fractional coordinates):
Tc1 0.0000 0.0000 0.2414
Th1 0.5000 0.5000 0.5000
Tc2 0.0000 0.0000 0.7586
Zr1 0.5000 0.5000 0.0000

Values from the calculation:
Calculated density: 10.781 Mg/m³
Magnetization: 0.0 μB/cell
ΔE_f: -0.1527 eV per atom
DFT total energy: -37.31 eV for the cell shown
Crystal system: tetragonal